Computed, not measured: a relaxed TlTc2Au crystal at the PBE-GGA level of DFT.

Unit cell a=2.986 b=3.717 c=6.505 alpha=90.00 beta=92.15 gamma=90.00
Element x y z (fractional)
Tl (0.000, 0.000, 0.000)
Tc (0.032, 0.000, 0.543)
Tc (0.481, 0.500, 0.710)
Au (0.499, 0.500, 0.283)

Summary:
- Electronic total energy: -6.1770 eV/atom
- SG: No. 6
- DOS at the Fermi energy: 3.20 states/eV per cell
- ΔH_f (0 K): 417 meV/atom